MgNi: relaxed, PBE-GGA.

Properties
The calculation puts the uncorrected energy at -3.502 eV per atom. As for the calculated volume: 14.30 Å³/atom. The space-group type is P-6m2, No. 187.

abc: 5.4859 5.4859 4.3896
angles: 90.00 90.00 120.00
Fractional positions:
Mg (0.0000, 0.0000, 0.0000)
Mg (0.1732, 0.3463, 0.5000)
Mg (0.1732, 0.8268, 0.5000)
Mg (0.6537, 0.8268, 0.5000)
Ni (0.5107, 0.0214, 0.0000)
Ni (0.5107, 0.4893, 0.0000)
Ni (0.6667, 0.3333, 0.5000)
Ni (0.9786, 0.4893, 0.0000)

***

CsInAs2Ir: relaxed, PBE-GGA.

Properties
The calculation puts the uncorrected energy at -4.444 eV per atom. As for the calculated volume: 26.83 Å³/atom. The space-group type is I-4m2, No. 119.

abc: 4.2330 4.2330 14.9761
angles: 90.00 90.00 90.00
Fractional positions:
Cs (0.0000, 0.0000, 0.0000)
Cs (0.5000, 0.5000, 0.5000)
In (0.0000, 0.5000, 0.7500)
In (0.5000, 0.0000, 0.2500)
As (0.0000, 0.0000, 0.3557)
As (0.0000, 0.0000, 0.6443)
As (0.5000, 0.5000, 0.1443)
As (0.5000, 0.5000, 0.8557)
Ir (0.0000, 0.5000, 0.2500)
Ir (0.5000, 0.0000, 0.7500)

***

Li2MgGa2Pd2Pt: relaxed, PBE-GGA.

Properties
The calculation puts the uncorrected energy at -4.022 eV per atom. As for the calculated volume: 14.92 Å³/atom. The space-group type is P-4m2, No. 115.

abc: 4.3002 4.3002 6.4541
angles: 90.00 90.00 90.00
Fractional positions:
Li (0.0000, 0.5000, 0.2341)
Li (0.5000, 0.0000, 0.7659)
Mg (0.0000, 0.0000, 0.5000)
Ga (0.0000, 0.0000, 0.0000)
Ga (0.5000, 0.5000, 0.5000)
Pd (0.0000, 0.5000, 0.7348)
Pd (0.5000, 0.0000, 0.2652)
Pt (0.5000, 0.5000, 0.0000)

***

CsTmB: relaxed, PBE-GGA.

Properties
The calculation puts the uncorrected energy at -2.411 eV per atom. As for the calculated volume: 27.29 Å³/atom. The space-group type is F-43m, No. 216.

abc: 6.8926 6.8926 6.8926
angles: 90.00 90.00 90.00
Fractional positions:
Cs (0.0000, 0.0000, 0.0000)
Cs (0.0000, 0.5000, 0.5000)
Cs (0.5000, 0.0000, 0.5000)
Cs (0.5000, 0.5000, 0.0000)
Tm (0.2500, 0.2500, 0.7500)
Tm (0.2500, 0.7500, 0.2500)
Tm (0.7500, 0.2500, 0.2500)
Tm (0.7500, 0.7500, 0.7500)
B (0.0000, 0.0000, 0.5000)
B (0.0000, 0.5000, 0.0000)
B (0.5000, 0.0000, 0.0000)
B (0.5000, 0.5000, 0.5000)

***

Number 1: magnetization 0.01 Bohr magnetons per cell. Number 2: magnetization 0.01 Bohr magnetons per cell. Number 3: magnetization 0.00 Bohr magnetons per cell. Number 4: magnetization 0.29 Bohr magnetons per cell.